(1)
Computed, not measured: an optimized crystal structure of BeAg3 at the PBE-GGA level of DFT.

**Size of the total moment**: 0.000 μB/cell
**Energy of formation**: 24 kJ per mole of atoms

Unit cell a=5.6776 b=7.8034 c=2.8818 alpha=90.00 beta=90.00 gamma=90.00
Space group Cmmm (No. 65)
Symmetry-distinct sites (fractional):
1 Be 0.0000 0.0000 0.0000 (multiplicity 2)
2 Ag 0.0000 0.5000 0.0000 (multiplicity 2)
3 Ag 0.2500 0.2500 0.5000 (multiplicity 4)



(2)
Computed, not measured: an optimized crystal structure of Y2PaCo2 at the PBE-GGA level of DFT.

**Size of the total moment**: 0.000 μB/cell
**Energy of formation**: -33 kJ per mole of atoms

Unit cell a=3.6040 b=6.0642 c=9.6735 alpha=90.00 beta=90.00 gamma=90.00
Space group Immm (No. 71)
Symmetry-distinct sites (fractional):
1 Y 0.0000 0.0000 0.1936 (multiplicity 4)
2 Pa 0.0000 0.5000 0.0000 (multiplicity 2)
3 Co 0.0000 0.2833 0.5000 (multiplicity 4)



(3)
Computed, not measured: an optimized crystal structure of Tl2InHg3 at the PBE-GGA level of DFT.

**Size of the total moment**: 0.000 μB/cell
**Energy of formation**: 0 kJ per mole of atoms

Unit cell a=5.8536 b=16.9319 c=3.4413 alpha=90.00 beta=90.00 gamma=90.00
Space group Cmmm (No. 65)
Symmetry-distinct sites (fractional):
1 Tl 0.0000 0.1720 0.0000 (multiplicity 4)
2 In 0.0000 0.5000 0.0000 (multiplicity 2)
3 Hg 0.0000 0.0000 0.5000 (multiplicity 2)
4 Hg 0.0000 0.3430 0.5000 (multiplicity 4)



(4)
Computed, not measured: an optimized crystal structure of In2PSe at the PBE-GGA level of DFT.

**Raw total energy**: -29.21 eV for the cell shown
**Size of the total moment**: 0.000 μB/cell

Unit cell a=3.7083 b=3.7640 c=13.4907 alpha=90.00 beta=90.00 gamma=90.00
Space group Imm2 (No. 44)
Symmetry-distinct sites (fractional):
1 In 0.0000 0.0000 0.0000 (multiplicity 2)
2 In 0.0000 0.5000 0.2259 (multiplicity 2)
3 P 0.0000 0.0000 0.5686 (multiplicity 2)
4 Se 0.0000 0.5000 0.8210 (multiplicity 2)



(5)
Computed, not measured: an optimized crystal structure of U2Mn3Al6Ga at the PBE-GGA level of DFT.

**Size of the total moment**: 0.481 μB/cell
**Energy of formation**: -5 kJ per mole of atoms

Unit cell a=9.7890 b=6.7814 c=6.1355 alpha=90.00 beta=91.36 gamma=90.00
Space group C2/m (No. 12)
Symmetry-distinct sites (fractional):
1 U 0.1378 0.0000 0.3055 (multiplicity 4)
2 Mn 0.0000 0.0000 0.0000 (multiplicity 2)
3 Mn 0.2500 0.2500 0.5000 (multiplicity 4)
4 Al 0.1002 0.2982 0.8434 (multiplicity 8)
5 Al 0.2320 0.5000 0.1867 (multiplicity 4)
6 Ga 0.0000 0.5000 0.5000 (multiplicity 2)



(6)
Computed, not measured: an optimized crystal structure of LaNb3Cr at the PBE-GGA level of DFT.

**Size of the total moment**: 0.230 μB/cell
**Energy of formation**: 221 kJ per mole of atoms

Unit cell a=4.8569 b=4.8569 c=4.8569 alpha=90.00 beta=90.00 gamma=90.00
Space group Pm-3m (No. 221)
Symmetry-distinct sites (fractional):
1 La 0.0000 0.0000 0.0000 (multiplicity 1)
2 Nb 0.0000 0.0000 0.5000 (multiplicity 3)
3 Cr 0.5000 0.5000 0.5000 (multiplicity 1)